Record 1
Tl3HgIr (PBEsol, optimized geometry); formation enthalpy at 0 K = 0.126 eV per atom; energy = -3.531 eV per atom
1.0
-1.529 -1.083 4.885
-1.406 -4.809 -1.506
4.802 -1.753 1.115
Tl Ir Hg
3 1 1
Direct
0.000 0.500 0.000
0.000 0.000 0.500
0.500 0.000 0.000
0.000 0.000 0.000
0.500 0.500 0.500

---

Record 2
TlHgIr2 (PBEsol, optimized geometry); formation enthalpy at 0 K = 0.565 eV per atom; energy = -5.146 eV per atom
1.0
3.000 0.000 0.000
-1.500 4.537 -0.022
0.000 -1.023 5.077
Hg Ir Tl
1 2 1
Direct
0.000 0.000 0.500
0.753 0.505 0.741
0.247 0.495 0.259
0.500 0.000 0.000

---

Record 3
HgIrW3 (PBEsol, optimized geometry); formation enthalpy at 0 K = 1.989 eV per atom; energy = -8.373 eV per atom
1.0
4.718 0.000 0.000
0.000 4.718 0.000
0.000 0.000 4.718
Ir Hg W
1 1 3
Direct
0.000 0.000 0.000
0.500 0.500 0.500
0.000 0.500 0.000
0.000 0.000 0.500
0.500 0.000 0.000

---

Record 4
Y2HgIr (PBEsol, optimized geometry); formation enthalpy at 0 K = -0.711 eV per atom; energy = -6.720 eV per atom
1.0
3.463 0.000 0.000
0.000 3.463 0.000
0.000 0.000 7.316
Y Ir Hg
2 1 1
Direct
0.000 0.000 0.724
0.000 0.000 0.276
0.500 0.500 0.500
0.500 0.500 0.000

---

Record 5
YHg4Ir (PBEsol, optimized geometry); formation enthalpy at 0 K = 0.053 eV per atom; energy = -3.099 eV per atom
1.0
5.572 0.000 0.000
2.786 4.825 0.000
2.786 1.608 4.549
Hg Ir Y
4 1 1
Direct
0.375 0.375 0.375
0.375 0.375 0.874
0.874 0.375 0.375
0.375 0.874 0.375
0.750 0.750 0.750
0.000 0.000 0.000

---

Record 6
Y2HgIr (PBEsol, optimized geometry); formation enthalpy at 0 K = -0.578 eV per atom; energy = -6.586 eV per atom
1.0
3.969 0.000 0.000
1.984 3.437 0.000
1.984 1.146 7.352
Y Ir Hg
2 1 1
Direct
0.735 0.735 0.795
0.265 0.265 0.205
0.000 0.000 0.000
0.500 0.500 0.500

---

Record 7
ZnHgIr3 (PBEsol, optimized geometry); formation enthalpy at 0 K = 1.567 eV per atom; energy = -4.757 eV per atom
1.0
-4.244 1.370 0.475
-0.852 -1.167 -4.246
-1.173 -4.108 1.365
Zn Ir Hg
1 3 1
Direct
0.000 0.000 0.000
0.000 0.500 0.000
0.000 0.000 0.500
0.500 0.000 0.000
0.500 0.500 0.500

---

Record 8
Zr2HgIr (PBEsol, optimized geometry); formation enthalpy at 0 K = -0.347 eV per atom; energy = -7.489 eV per atom
1.0
3.404 0.000 0.000
0.000 3.404 0.000
0.000 0.000 6.614
Hg Ir Zr
1 1 2
Direct
0.000 0.000 0.512
0.500 0.500 0.768
0.000 0.000 0.964
0.500 0.500 0.256

---

Record 9
Zr2HgIr (PBEsol, optimized geometry); formation enthalpy at 0 K = -0.529 eV per atom; energy = -7.671 eV per atom
1.0
-1.772 2.260 1.560
-2.732 -1.264 -1.273
-0.604 -4.375 5.640
Ir Hg Zr
1 1 2
Direct
0.500 0.500 0.500
0.500 0.500 0.000
0.000 0.000 0.724
0.000 0.000 0.276

---

Record 10
Zr2HgIr (PBEsol, optimized geometry); formation enthalpy at 0 K = -0.424 eV per atom; energy = -7.567 eV per atom
1.0
-1.276 -1.436 2.426
4.547 -0.826 1.902
-1.471 4.409 1.837
Hg Ir Zr
1 1 2
Direct
0.500 0.500 0.500
0.500 0.000 0.000
0.000 0.000 0.500
0.000 0.500 0.000

---

Record 11
Zr2HgIr (PBEsol, optimized geometry); formation enthalpy at 0 K = -0.431 eV per atom; energy = -7.574 eV per atom
1.0
3.499 0.000 0.000
0.000 4.657 0.000
0.000 0.000 4.657
Hg Ir Zr
1 1 2
Direct
0.500 0.500 0.500
0.500 0.000 0.000
0.000 0.000 0.500
0.000 0.500 0.000

---

Record 12
Zr2HgIr (PBEsol, optimized geometry); formation enthalpy at 0 K = -0.494 eV per atom; energy = -7.636 eV per atom
1.0
-0.536 -1.664 2.831
1.847 -3.596 -1.763
5.031 2.387 0.400
Ir Hg Zr
1 1 2
Direct
0.654 0.500 0.309
0.833 0.000 0.666
0.107 0.000 0.215
0.410 0.500 0.820

---

Record 13
K3Hg2 (PBEsol, optimized geometry); formation enthalpy at 0 K = -0.134 eV per atom; energy = -1.041 eV per atom
1.0
-4.483 -2.337 2.722
5.084 0.378 2.642
-1.805 6.437 2.553
K Hg
3 2
Direct
0.000 0.000 0.000
0.333 0.667 0.348
0.667 0.333 0.652
0.333 0.667 0.864
0.667 0.333 0.136

---

Record 14
KHg2 (PBEsol, optimized geometry); formation enthalpy at 0 K = -0.191 eV per atom; energy = -0.947 eV per atom
1.0
-3.543 3.402 -1.835
-4.174 -5.149 -1.488
-4.010 0.660 8.966
Hg K
8 4
Direct
0.750 0.472 0.292
0.250 0.028 0.792
0.750 0.972 0.208
0.250 0.528 0.708
0.750 0.351 0.594
0.250 0.149 0.094
0.750 0.851 0.906
0.250 0.649 0.406
0.750 0.839 0.574
0.250 0.661 0.074
0.750 0.339 0.926
0.250 0.161 0.426

---

Record 15
KHg5 (PBEsol, optimized geometry); formation enthalpy at 0 K = -0.136 eV per atom; energy = -0.797 eV per atom
1.0
4.832 0.000 0.000
0.000 4.848 0.000
-2.416 0.000 6.693
K Hg
1 5
Direct
0.139 0.500 0.278
0.966 0.000 0.933
0.311 0.000 0.623
0.639 0.000 0.278
0.463 0.500 0.926
0.815 0.500 0.630

---

What did we get for DOS at the Fermi energy? Answer: 1.7 2.8 4.1 2.5 0.0 1.8 6.1 3.2 2.8 3.7 3.6 2.9 2.6 1.2 1.6 states/eV/f.u., in the order shown.